No. 1
Compound: Mn2PtW
Source: the Alexandria database
Functional: PBE-GGA
Structure: relaxed

Calculated values
E   -9.274 eV/atom
Excess energy over the best structure of this formula in the dataset   0.161 eV/atom

extended XYZ file:
```
4
Lattice="4.2636 0.0000 0.0000 0.0000 2.7017 0.0011 0.0000 0.6291 5.0487" Properties=species:S:1:pos:R:3 pbc="T T T"
W 2.1318 2.4981 3.7874
Pt 2.1318 0.8327 1.2625
Mn 0.0000 1.7261 2.5860
Mn 0.0000 3.2701 4.9887
```

---

No. 2
Compound: MnPtW2
Source: the Alexandria database
Functional: PBE-GGA
Structure: relaxed

Calculated values
E   -10.244 eV/atom
Excess energy over the best structure of this formula in the dataset   0.098 eV/atom

extended XYZ file:
```
4
Lattice="-0.3177 -2.1304 -1.6627 -0.3121 -2.3737 3.1010 -5.6363 0.8034 0.0477" Properties=species:S:1:pos:R:3 pbc="T T T"
W -5.6110 0.7998 0.0475
W -1.7970 -2.0408 0.7317
Mn -2.8160 0.4014 0.0238
Pt -4.4965 -1.6560 0.7545
```